*w*
A plane-wave DFT calculation with GGA-PBE was carried out for an optimized crystal structure of Ho2AlZn3.

Cell and atoms, written as extended XYZ:
```
6
Lattice="-0.750 -3.271 -1.628 1.514 -2.082 3.488 -7.501 2.749 2.203" Properties=species:S:1:pos:R:3 pbc="T T T"
Al -5.807 -0.975 4.633
Zn -0.188 -2.671 1.181
Zn -2.457 -2.648 2.180
Zn -3.498 -0.998 3.617
Ho -1.823 0.018 0.802
Ho -5.679 -1.582 1.521
```

Density = 7.30 Mg/m³
V = 20.96 Å³ per atom
Size of the total moment = 0.0 μB per formula unit



*x*
A plane-wave DFT calculation with GGA-PBE was carried out for an optimized crystal structure of Ho2AlZn3.

Cell and atoms, written as extended XYZ:
```
12
Lattice="-0.510 5.276 -2.088 -4.816 -0.701 2.962 6.127 0.541 5.864" Properties=species:S:1:pos:R:3 pbc="T T T"
Al -1.516 3.225 2.525
Al 2.316 1.891 4.213
Ho -0.677 1.064 4.631
Ho -4.028 3.460 0.661
Ho 1.477 4.053 2.106
Ho -1.299 1.116 0.213
Zn -3.162 1.267 2.740
Zn 3.962 3.849 3.997
Zn 1.153 0.941 2.097
Zn -0.353 4.175 4.640
Zn -1.016 4.247 0.223
Zn 1.816 0.870 6.515
```

Density = 7.52 Mg/m³
V = 20.35 Å³ per atom
Size of the total moment = 0.0 μB per formula unit



Structures ranked by computed energy, the most stable listed first: *x*, *w*.



*w*
A plane-wave DFT calculation with GGA-PBE was carried out for an optimized crystal structure of Ho6AlZn2.

Cell and atoms, written as extended XYZ:
```
18
Lattice="7.962 0.213 -2.918 -4.082 6.979 -2.566 -0.101 -0.213 8.479" Properties=species:S:1:pos:R:3 pbc="T T T"
Ho 4.262 5.277 -3.023
Ho 3.218 5.320 0.424
Ho -0.484 1.701 6.018
Ho 5.350 1.871 -2.591
Ho 2.448 1.914 -0.458
Ho 0.561 1.658 2.571
Ho 1.330 5.065 3.453
Ho 5.537 0.374 0.510
Ho -0.258 4.178 0.365
Ho -1.572 5.108 5.586
Ho 4.037 2.800 2.630
Ho -1.758 6.604 2.485
Zn 1.410 4.453 -1.992
Zn 5.003 0.000 3.539
Zn 2.858 0.000 2.022
Zn 2.369 2.525 4.987
Al -2.092 3.383 2.957
Al 0.000 0.000 0.000
```

Density = 8.11 Mg/m³
V = 26.09 Å³ per atom
Size of the total moment = 0.0 μB per formula unit



*x*
A plane-wave DFT calculation with GGA-PBE was carried out for an optimized crystal structure of Ho6AlZn2.

Cell and atoms, written as extended XYZ:
```
9
Lattice="-1.098 3.765 3.007 -3.366 -2.806 2.284 9.607 -3.776 4.175" Properties=species:S:1:pos:R:3 pbc="T T T"
Ho 0.713 1.318 2.671
Ho 3.138 0.234 4.914
Ho 4.429 -4.135 6.794
Ho 2.004 -3.051 4.552
Ho -0.421 -1.967 2.309
Ho 5.563 -0.850 7.156
Zn 4.902 -2.191 4.533
Zn 0.241 -0.626 4.932
Al 0.000 0.000 0.000
```

Density = 7.38 Mg/m³
V = 28.69 Å³ per atom
Size of the total moment = 0.0 μB per formula unit



Structures ranked by computed energy, the most stable listed first: *w*, *x*.



*w*
A plane-wave DFT calculation with GGA-PBE was carried out for an optimized crystal structure of Ho8AlZn2.

Cell and atoms, written as extended XYZ:
```
11
Lattice="4.694 0.000 -1.429 -1.224 7.082 -4.022 0.072 0.144 8.664" Properties=species:S:1:pos:R:3 pbc="T T T"
Zn 3.448 2.245 2.904
Zn 0.094 4.981 0.309
Ho 2.052 6.297 -1.683
Ho 2.591 3.178 0.088
Ho 0.951 4.048 3.125
Ho 3.048 6.218 1.589
Ho 1.490 0.929 4.896
Ho 3.925 5.010 4.471
Ho -0.383 2.216 -1.258
Ho 0.494 1.008 1.624
Al 2.347 0.000 -0.714
```

Density = 8.41 Mg/m³
V = 26.52 Å³ per atom
Size of the total moment = 0.0 μB per formula unit



*x*
A plane-wave DFT calculation with GGA-PBE was carried out for an optimized crystal structure of Ho8AlZn2.

Cell and atoms, written as extended XYZ:
```
11
Lattice="-4.273 1.195 -2.481 -2.972 -5.822 2.315 0.534 5.785 7.074" Properties=species:S:1:pos:R:3 pbc="T T T"
Ho -5.578 -2.905 2.999
Ho -1.133 4.063 3.908
Ho -5.165 0.470 3.913
Ho -2.902 2.076 5.997
Ho -2.387 -4.157 2.109
Ho -3.810 -0.918 0.911
Ho -1.547 0.688 2.995
Ho -4.324 5.315 4.799
Zn -2.695 -1.790 3.778
Zn -4.017 2.948 3.129
Al -2.136 0.597 -1.241
```

Density = 8.32 Mg/m³
V = 26.80 Å³ per atom
Size of the total moment = 0.0 μB per formula unit



Structures ranked by computed energy, the most stable listed first: *x*, *w*.



*w*
A plane-wave DFT calculation with GGA-PBE was carried out for an optimized crystal structure of Ho2ZrAl.

Cell and atoms, written as extended XYZ:
```
4
Lattice="4.634 0.000 0.000 0.000 4.575 0.000 0.000 0.000 4.575" Properties=species:S:1:pos:R:3 pbc="T T T"
Al 2.317 0.000 0.000
Zr 2.317 2.288 2.288
Ho 0.000 0.000 2.288
Ho 0.000 2.288 0.000
```

Density = 7.67 Mg/m³
V = 24.25 Å³ per atom
Size of the total moment = 0.0 μB per formula unit



*x*
A plane-wave DFT calculation with GGA-PBE was carried out for an optimized crystal structure of Ho2ZrAl.

Cell and atoms, written as extended XYZ:
```
4
Lattice="5.219 0.000 0.000 2.610 4.520 0.000 2.610 1.507 4.263" Properties=species:S:1:pos:R:3 pbc="T T T"
Al 0.000 0.000 0.000
Ho 2.610 1.507 1.066
Ho 7.829 4.520 3.197
Zr 5.219 3.013 2.131
```

Density = 7.40 Mg/m³
V = 25.14 Å³ per atom
Size of the total moment = 2.4 μB per formula unit



Structures ranked by computed energy, the most stable listed first: *w*, *x*.



*w*
A plane-wave DFT calculation with GGA-PBE was carried out for an optimized crystal structure of HoZr2Al.

Cell and atoms, written as extended XYZ:
```
4
Lattice="3.144 0.000 0.000 0.000 3.144 0.000 0.000 0.000 9.253" Properties=species:S:1:pos:R:3 pbc="T T T"
Zr 0.000 0.000 1.974
Zr 0.000 0.000 7.280
Al 1.572 1.572 0.000
Ho 1.572 1.572 4.627
```

Density = 6.80 Mg/m³
V = 22.86 Å³ per atom
Size of the total moment = 0.0 μB per formula unit



*x*
A plane-wave DFT calculation with GGA-PBE was carried out for an optimized crystal structure of HoZr2Al.

Cell and atoms, written as extended XYZ:
```
4
Lattice="3.258 0.000 0.000 1.629 2.821 0.000 1.629 0.940 10.140" Properties=species:S:1:pos:R:3 pbc="T T T"
Al 3.258 1.881 0.006
Zr 1.629 0.940 7.782
Zr 1.629 0.940 2.348
Ho 3.258 1.881 5.074
```

Density = 6.67 Mg/m³
V = 23.30 Å³ per atom
Size of the total moment = 0.0 μB per formula unit



*y*
A plane-wave DFT calculation with GGA-PBE was carried out for an optimized crystal structure of HoZr2Al.

Cell and atoms, written as extended XYZ:
```
4
Lattice="4.458 0.000 0.000 0.000 4.490 0.000 0.000 0.000 4.490" Properties=species:S:1:pos:R:3 pbc="T T T"
Zr 0.000 0.000 2.245
Zr 0.000 2.245 0.000
Ho 2.229 2.245 2.245
Al 2.229 0.000 0.000
```

Density = 6.92 Mg/m³
V = 22.47 Å³ per atom
Size of the total moment = 0.0 μB per formula unit



Structures ranked by computed energy, the most stable listed first: *y*, *w*, *x*.